[1]
Here is a relaxed CrCdPCl2 crystal from Alexandria via LeMat-Bulk. Energies are from PBE-GGA.

Cell: 5.1671 5.1671 5.1451 Å, 90.00 90.00 90.00°
Element x y z (fractional)
Cr 0.0000 0.0000 0.0000
Cd 0.5000 0.5000 0.5000
P 0.5000 0.5000 0.0000
Cl 0.0000 0.5000 0.5000
Cl 0.5000 0.0000 0.5000

Results
ΔE to the lowest computed polymorph = 596 meV/atom
M_tot = 3.11 μB per formula unit
DOS at the Fermi energy = 1.69 states/eV/cell
symmetry = P4/mmm (123)
formation energy without anion corrections = 0.42 eV per atom



[2]
Here is a relaxed NpSiTe crystal from Alexandria via LeMat-Bulk. Energies are from PBE-GGA.

Cell: 3.8800 18.2662 3.9522 Å, 90.00 90.00 90.00°
Element x y z (fractional)
Np 0.0000 0.0964 0.2500
Np 0.0000 0.9036 0.7500
Np 0.5000 0.4036 0.7500
Np 0.5000 0.5964 0.2500
Si 0.0000 0.4669 0.2500
Si 0.0000 0.5331 0.7500
Si 0.5000 0.0331 0.7500
Si 0.5000 0.9669 0.2500
Te 0.0000 0.3152 0.2500
Te 0.0000 0.6848 0.7500
Te 0.5000 0.1848 0.7500
Te 0.5000 0.8152 0.2500

Results
M_tot = 3.73 μB per formula unit
DOS at the Fermi energy = 23.52 states/eV/cell
symmetry = Cmcm (63)
formation energy without anion corrections = -0.39 eV per atom



[3]
Here is a relaxed BIr3 crystal from Alexandria via LeMat-Bulk. Energies are from PBE-GGA.

Cell: 2.8299 7.7905 4.6617 Å, 90.00 90.00 90.00°
Element x y z (fractional)
B 0.0000 0.0000 0.0000
B 0.5000 0.5000 0.5000
Ir 0.0000 0.3109 0.6588
Ir 0.0000 0.5000 0.1505
Ir 0.0000 0.6891 0.6588
Ir 0.5000 0.0000 0.6505
Ir 0.5000 0.1891 0.1588
Ir 0.5000 0.8109 0.1588

Results
formation energy from the elements = 0.008 eV/atom
M_tot = 0.00 μB per formula unit
DOS at the Fermi energy = 8.35 states/eV/cell
symmetry = Imm2 (44)



[4]
Here is a relaxed Sc3AsSO crystal from Alexandria via LeMat-Bulk. Energies are from PBE-GGA.

Cell: 7.6364 3.6837 8.0288 Å, 90.00 99.16 90.00°
Element x y z (fractional)
Sc 0.0949 0.2500 0.3459
Sc 0.3299 0.2500 0.9976
Sc 0.3946 0.7500 0.6424
Sc 0.6054 0.2500 0.3576
Sc 0.6701 0.7500 0.0024
Sc 0.9051 0.7500 0.6541
As 0.3348 0.7500 0.2904
As 0.6652 0.2500 0.7096
S 0.1491 0.2500 0.6704
S 0.8509 0.7500 0.3296
O 0.3985 0.7500 0.9090
O 0.6015 0.2500 0.0910

Results
M_tot = 0.00 μB per formula unit
DOS at the Fermi energy = 4.50 states/eV/cell
symmetry = P2_1/m (11)
formation energy without anion corrections = -2.01 eV per atom



[5]
Here is a relaxed SrAl2 crystal from Alexandria via LeMat-Bulk. Energies are from PBE-GGA.

Cell: 4.4794 4.4794 7.8793 Å, 90.00 90.00 90.00°
Element x y z (fractional)
Sr 0.2500 0.2500 0.1743
Sr 0.7500 0.7500 0.8257
Al 0.2500 0.2500 0.7048
Al 0.2500 0.7500 0.5000
Al 0.7500 0.2500 0.5000
Al 0.7500 0.7500 0.2952

Results
formation energy from the elements = -0.250 eV/atom
M_tot = 0.00 μB per formula unit
DOS at the Fermi energy = 2.00 states/eV/cell
symmetry = P4/nmm (129)



[6]
Here is a relaxed Re3AsI crystal from Alexandria via LeMat-Bulk. Energies are from PBE-GGA.

Cell: 4.8311 4.8311 4.8311 Å, 90.00 90.00 90.00°
Element x y z (fractional)
Re 0.0000 0.0000 0.5000
Re 0.0000 0.5000 0.0000
Re 0.5000 0.0000 0.0000
As 0.5000 0.5000 0.5000
I 0.0000 0.0000 0.0000

Results
ΔE to the lowest computed polymorph = 962 meV/atom
M_tot = 1.35 μB per formula unit
DOS at the Fermi energy = 5.80 states/eV/cell
symmetry = Pm-3m (221)
formation energy without anion corrections = 2.97 eV per atom



[7]
Here is a relaxed Pu4Ir2PtAu crystal from Alexandria via LeMat-Bulk. Energies are from PBE-GGA.

Cell: 8.5312 8.5312 8.5312 Å, 33.75 33.75 33.75°
Element x y z (fractional)
Pu 0.1221 0.1221 0.1221
Pu 0.3721 0.3721 0.3721
Pu 0.6279 0.6279 0.6279
Pu 0.8779 0.8779 0.8779
Ir 0.2490 0.2490 0.2490
Ir 0.7510 0.7510 0.7510
Pt 0.0000 0.0000 0.0000
Au 0.5000 0.5000 0.5000

Results
formation energy from the elements = -0.488 eV/atom
M_tot = 21.27 μB per formula unit
DOS at the Fermi energy = 29.83 states/eV/cell
symmetry = R-3m (166)



[8]
Here is a relaxed Th4SiRhS2 crystal from Alexandria via LeMat-Bulk. Energies are from PBE-GGA.

Cell: 7.1445 4.0834 7.3268 Å, 90.00 109.09 90.00°
Element x y z (fractional)
Th 0.2401 0.0000 0.2422
Th 0.2508 0.5000 0.7510
Th 0.7492 0.5000 0.2490
Th 0.7599 0.0000 0.7578
Si 0.0000 0.0000 0.5000
Rh 0.0000 0.5000 0.0000
S 0.5000 0.0000 0.0000
S 0.5000 0.5000 0.5000

Results
M_tot = 0.00 μB per formula unit
DOS at the Fermi energy = 5.60 states/eV/cell
symmetry = P2/m (10)
formation energy without anion corrections = -1.26 eV per atom



[9]
Here is a relaxed AlAgSn crystal from Alexandria via LeMat-Bulk. Energies are from PBE-GGA.

Cell: 4.3410 4.3410 10.8626 Å, 90.00 90.00 120.00°
Element x y z (fractional)
Al 0.0000 0.0000 0.2500
Al 0.0000 0.0000 0.7500
Ag 0.3333 0.6667 0.2500
Ag 0.6667 0.3333 0.7500
Sn 0.0000 0.0000 0.0000
Sn 0.0000 0.0000 0.5000

Results
formation energy from the elements = 0.574 eV/atom
M_tot = 0.00 μB per formula unit
DOS at the Fermi energy = 3.96 states/eV/cell
symmetry = P6_3/mmc (194)



[10]
Here is a relaxed Pm3Sn5 crystal from Alexandria via LeMat-Bulk. Energies are from PBE-GGA.

Cell: 12.9686 10.5539 6.4757 Å, 90.00 90.00 90.00°
Element x y z (fractional)
Pm 0.0560 0.2500 0.1297
Pm 0.1510 0.5052 0.6249
Pm 0.1510 0.9948 0.6249
Pm 0.3490 0.0052 0.1249
Pm 0.3490 0.4948 0.1249
Pm 0.4440 0.7500 0.6297
Pm 0.5560 0.2500 0.3703
Pm 0.6510 0.5052 0.8751
Pm 0.6510 0.9948 0.8751
Pm 0.8490 0.0052 0.3751
Pm 0.8490 0.4948 0.3751
Pm 0.9440 0.7500 0.8703
Sn 0.0005 0.7500 0.3971
Sn 0.0915 0.5469 0.1278
Sn 0.0915 0.9531 0.1278
Sn 0.2303 0.7500 0.8881
Sn 0.2449 0.7500 0.3544
Sn 0.2551 0.2500 0.8544
Sn 0.2697 0.2500 0.3881
Sn 0.4085 0.0469 0.6278
Sn 0.4085 0.4531 0.6278
Sn 0.4995 0.2500 0.8971
Sn 0.5005 0.7500 0.1029
Sn 0.5915 0.5469 0.3722
Sn 0.5915 0.9531 0.3722
Sn 0.7303 0.7500 0.6119
Sn 0.7449 0.7500 0.1456
Sn 0.7551 0.2500 0.6456
Sn 0.7697 0.2500 0.1119
Sn 0.9085 0.0469 0.8722
Sn 0.9085 0.4531 0.8722
Sn 0.9995 0.2500 0.6029

Results
ΔE to the lowest computed polymorph = 0 meV/atom
formation energy from the elements = -0.646 eV/atom
M_tot = 0.00 μB per formula unit
DOS at the Fermi energy = 14.86 states/eV/cell
symmetry = Pnma (62)



[11]
Here is a relaxed Sr2TlCd6Ag crystal from Alexandria via LeMat-Bulk. Energies are from PBE-GGA.

Cell: 13.4811 13.4811 13.4811 Å, 31.33 31.33 31.33°
Element x y z (fractional)
Sr 0.1049 0.1049 0.1049
Sr 0.2782 0.2782 0.2782
Sr 0.7218 0.7218 0.7218
Sr 0.8951 0.8951 0.8951
Tl 0.4247 0.4247 0.4247
Tl 0.5753 0.5753 0.5753
Cd 0.0698 0.6731 0.6731
Cd 0.2240 0.2240 0.6325
Cd 0.2240 0.6325 0.2240
Cd 0.3269 0.3269 0.9302
Cd 0.3269 0.9302 0.3269
Cd 0.3675 0.7760 0.7760
Cd 0.6325 0.2240 0.2240
Cd 0.6731 0.0698 0.6731
Cd 0.6731 0.6731 0.0698
Cd 0.7760 0.3675 0.7760
Cd 0.7760 0.7760 0.3675
Cd 0.9302 0.3269 0.3269
Ag 0.0000 0.0000 0.0000
Ag 0.5000 0.5000 0.5000

Results
formation energy from the elements = -0.114 eV/atom
M_tot = 0.00 μB per formula unit
DOS at the Fermi energy = 9.40 states/eV/cell
symmetry = R-3m (166)



[12]
Here is a relaxed ZrRuAu crystal from Alexandria via LeMat-Bulk. Energies are from PBE-GGA.

Cell: 6.3002 6.3002 6.3002 Å, 90.00 90.00 90.00°
Element x y z (fractional)
Zr 0.0000 0.0000 0.0000
Zr 0.0000 0.5000 0.5000
Zr 0.5000 0.0000 0.5000
Zr 0.5000 0.5000 0.0000
Ru 0.2500 0.2500 0.7500
Ru 0.2500 0.7500 0.2500
Ru 0.7500 0.2500 0.2500
Ru 0.7500 0.7500 0.7500
Au 0.2500 0.2500 0.2500
Au 0.2500 0.7500 0.7500
Au 0.7500 0.2500 0.7500
Au 0.7500 0.7500 0.2500

Results
ΔE to the lowest computed polymorph = 503 meV/atom
formation energy from the elements = 0.177 eV/atom
M_tot = 0.00 μB per formula unit
DOS at the Fermi energy = 8.30 states/eV/cell
symmetry = F-43m (216)



[13]
Here is a relaxed TaAsPt2 crystal from Alexandria via LeMat-Bulk. Energies are from PBE-GGA.

Cell: 3.1367 3.9077 5.4299 Å, 90.00 90.08 90.00°
Element x y z (fractional)
Ta 0.0000 0.0000 0.0000
As 0.0000 0.0000 0.5000
Pt 0.4989 0.5000 0.7562
Pt 0.5011 0.5000 0.2438

Results
formation energy from the elements = -0.413 eV/atom
M_tot = 0.00 μB per formula unit
DOS at the Fermi energy = 1.81 states/eV/cell
symmetry = P2/m (10)



[14]
Here is a relaxed AcTh4Si4 crystal from Alexandria via LeMat-Bulk. Energies are from PBE-GGA.

Cell: 9.5088 9.5088 5.9717 Å, 90.00 90.00 90.00°
Element x y z (fractional)
Ac 0.2500 0.2500 0.2500
Ac 0.7500 0.7500 0.7500
Th 0.0977 0.6381 0.1228
Th 0.1381 0.9023 0.6228
Th 0.3619 0.5977 0.6228
Th 0.4023 0.8619 0.1228
Th 0.5977 0.1381 0.8772
Th 0.6381 0.4023 0.3772
Th 0.8619 0.0977 0.3772
Th 0.9023 0.3619 0.8772
Si 0.0456 0.5979 0.6226
Si 0.0979 0.9544 0.1226
Si 0.4021 0.5456 0.1226
Si 0.4544 0.9021 0.6226
Si 0.5456 0.0979 0.3774
Si 0.5979 0.4544 0.8774
Si 0.9021 0.0456 0.8774
Si 0.9544 0.4021 0.3774

Results
M_tot = 0.00 μB per formula unit
DOS at the Fermi energy = 15.99 states/eV/cell
symmetry = P4_2/n (86)
formation energy without anion corrections = -0.35 eV per atom



[15]
Here is a relaxed CuGeSbO6 crystal from Alexandria via LeMat-Bulk. Energies are from PBE-GGA.

Cell: 5.0994 5.0994 8.7063 Å, 90.00 90.00 120.00°
Element x y z (fractional)
Cu 0.0000 0.0000 0.0000
Cu 0.0000 0.0000 0.5000
Ge 0.3333 0.6667 0.2500
Ge 0.6667 0.3333 0.7500
Sb 0.3333 0.6667 0.7500
Sb 0.6667 0.3333 0.2500
O 0.0132 0.3558 0.1293
O 0.0132 0.6574 0.3707
O 0.3426 0.3558 0.3707
O 0.3426 0.9868 0.1293
O 0.3558 0.0132 0.6293
O 0.3558 0.3426 0.8707
O 0.6442 0.6574 0.1293
O 0.6442 0.9868 0.3707
O 0.6574 0.0132 0.8707
O 0.6574 0.6442 0.6293
O 0.9868 0.3426 0.6293
O 0.9868 0.6442 0.8707

Results
M_tot = 2.05 μB per formula unit
DOS at the Fermi energy = 7.99 states/eV/cell
symmetry = P-31c (163)
formation energy without anion corrections = -1.04 eV per atom



[16]
Here is a relaxed Tl2Hg crystal from Alexandria via LeMat-Bulk. Energies are from PBE-GGA.

Cell: 6.0403 8.9262 3.3709 Å, 90.00 90.00 90.00°
Element x y z (fractional)
Tl 0.0009 0.1846 0.0000
Tl 0.4991 0.6846 0.5000
Tl 0.5009 0.3154 0.5000
Tl 0.9991 0.8154 0.0000
Hg 0.0000 0.5000 0.5000
Hg 0.5000 0.0000 0.0000

Results
ΔE to the lowest computed polymorph = 20 meV/atom
formation energy from the elements = 0.012 eV/atom
M_tot = 0.00 μB per formula unit
DOS at the Fermi energy = 2.62 states/eV/cell
symmetry = Pnnm (58)



[17]
Here is a relaxed MgTlRe2O8 crystal from Alexandria via LeMat-Bulk. Energies are from PBE-GGA.

Cell: 5.8278 5.8278 7.5763 Å, 90.00 90.00 120.00°
Element x y z (fractional)
Mg 0.0000 0.0000 0.0000
Tl 0.0000 0.0000 0.5000
Re 0.3333 0.6667 0.2372
Re 0.6667 0.3333 0.7628
O 0.1612 0.3313 0.1640
O 0.1701 0.8388 0.1640
O 0.3313 0.1701 0.8360
O 0.3333 0.6667 0.4696
O 0.6667 0.3333 0.5304
O 0.6687 0.8299 0.1640
O 0.8299 0.1612 0.8360
O 0.8388 0.6687 0.8360

Results
M_tot = 1.09 μB per formula unit
DOS at the Fermi energy = 6.99 states/eV/cell
symmetry = P-3 (147)
formation energy without anion corrections = -1.70 eV per atom



[18]
Here is a relaxed Y6Er12In crystal from Alexandria via LeMat-Bulk. Energies are from PBE-GGA.

Cell: 8.4315 8.4315 8.4315 Å, 92.23 92.23 92.23°
Element x y z (fractional)
Y 0.2278 0.7624 0.3857
Y 0.2376 0.6143 0.7722
Y 0.3857 0.2278 0.7624
Y 0.6143 0.7722 0.2376
Y 0.7624 0.3857 0.2278
Y 0.7722 0.2376 0.6143
Er 0.0269 0.2910 0.9623
Er 0.0377 0.9731 0.7090
Er 0.1289 0.3550 0.4494
Er 0.2910 0.9623 0.0269
Er 0.3550 0.4494 0.1289
Er 0.4494 0.1289 0.3550
Er 0.5506 0.8711 0.6450
Er 0.6450 0.5506 0.8711
Er 0.7090 0.0377 0.9731
Er 0.8711 0.6450 0.5506
Er 0.9623 0.0269 0.2910
Er 0.9731 0.7090 0.0377
In 0.5000 0.5000 0.5000

Results
formation energy from the elements = 0.096 eV/atom
M_tot = 0.17 μB per formula unit
DOS at the Fermi energy = 38.70 states/eV/cell
symmetry = R-3 (148)



[19]
Here is a relaxed Tb8PrY4 crystal from Alexandria via LeMat-Bulk. Energies are from PBE-GGA.

Cell: 7.8162 7.8162 7.8162 Å, 89.88 89.88 89.88°
Element x y z (fractional)
Tb 0.2389 0.7600 0.7600
Tb 0.2396 0.2396 0.2396
Tb 0.2400 0.2400 0.7611
Tb 0.2400 0.7611 0.2400
Tb 0.7600 0.2389 0.7600
Tb 0.7600 0.7600 0.2389
Tb 0.7604 0.7604 0.7604
Tb 0.7611 0.2400 0.2400
Pr 0.5000 0.5000 0.5000
Y 0.0000 0.0000 0.0000
Y 0.0000 0.5000 0.5000
Y 0.5000 0.0000 0.5000
Y 0.5000 0.5000 0.0000

Results
formation energy from the elements = 0.527 eV/atom
M_tot = 0.74 μB per formula unit
DOS at the Fermi energy = 21.54 states/eV/cell
symmetry = R-3m (166)



[20]
Here is a relaxed ZrTaPt crystal from Alexandria via LeMat-Bulk. Energies are from PBE-GGA.

Cell: 3.1463 3.1463 6.7232 Å, 90.00 90.00 120.00°
Element x y z (fractional)
Zr 0.0000 0.0000 0.0000
Ta 0.3333 0.6667 0.6492
Pt 0.6667 0.3333 0.3408

Results
ΔE to the lowest computed polymorph = 241 meV/atom
formation energy from the elements = -0.248 eV/atom
M_tot = 0.00 μB per formula unit
DOS at the Fermi energy = 2.35 states/eV/cell
symmetry = P3m1 (156)